## BeCrCl2F (PBE with a Hubbard U)

Data for crystalline BeCrCl2F at its relaxed geometry.

Lattice parameters (Å, degrees): 4.8467 4.8467 3.2587 90.00 90.00 90.00
Closest atoms and distances in Å follow each position.
Space group P4/mmm (No. 123)
Symmetry-distinct sites (fractional):
Be  0.0000  0.0000  0.0000  2 F 1.63
Cr  0.5000  0.5000  0.5000  8 Cl 2.92, 2 Cr 3.26
Cl  0.0000  0.5000  0.0000  2 Be 2.42
F  0.0000  0.0000  0.5000  2 Be 1.63

Density, kg/m3: 3274
Electronic total energy, eV/atom: -4.648